This record from Alexandria describes Tm5Ge10Os4 after structural relaxation. The functional is PBE.

Output
The total energy comes out at -247.200 eV per cell. The value obtained for the density of states at the Fermi level is 11.02 states/eV/f.u.

```
Tm5Ge10Os4
1.0
-1.8103 9.5562 8.6728
-12.6890 -2.9136 0.5617
0.7738 -2.7538 3.1958
Ge Os Tm
20 8 10
Direct
0.3351 0.3020 0.0000
0.0674 0.4326 0.0000
0.9326 0.5674 0.0000
0.6569 0.5078 0.5000
0.9922 0.8431 0.5000
0.5674 0.0674 0.0000
0.3431 0.4922 0.5000
0.3020 0.6649 0.0000
0.8351 0.1980 0.0000
0.8020 0.8351 0.0000
0.4326 0.9326 0.0000
0.6649 0.6980 0.0000
0.1649 0.8020 0.0000
0.8431 0.0078 0.5000
0.0078 0.1569 0.5000
0.1980 0.1649 0.0000
0.1569 0.9922 0.5000
0.4922 0.6569 0.5000
0.6980 0.3351 0.0000
0.5078 0.3431 0.5000
0.2478 0.9819 0.0000
0.7522 0.0181 0.0000
0.7478 0.5181 0.0000
0.9819 0.7522 0.0000
0.2522 0.4819 0.0000
0.0181 0.2478 0.0000
0.5181 0.2522 0.0000
0.4819 0.7478 0.0000
0.5000 0.5000 0.0000
0.8283 0.6717 0.5000
0.6184 0.8816 0.5000
0.6717 0.1717 0.5000
0.1184 0.6184 0.5000
0.0000 0.0000 0.0000
0.8816 0.3816 0.5000
0.1717 0.3283 0.5000
0.3283 0.8283 0.5000
0.3816 0.1184 0.5000
```

This record from Alexandria describes Tm3Ge3Os after structural relaxation. The functional is PBE.

Output
The total energy comes out at -87.314 eV per cell. The value obtained for the density of states at the Fermi level is 3.78 states/eV/f.u.

```
Tm3Ge3Os
1.0
4.1946 0.0000 0.6319
2.0679 5.3187 0.5109
0.1872 0.0711 12.9961
Tm Ge Os
6 6 2
Direct
0.4000 0.2796 0.9203
0.2595 0.2496 0.2313
0.7405 0.7504 0.7687
0.4795 0.6646 0.3764
0.5205 0.3354 0.6236
0.5999 0.7204 0.0797
0.0400 0.1580 0.7619
0.8757 0.1750 0.0737
0.9600 0.8420 0.2381
0.1325 0.2791 0.4559
0.1243 0.8250 0.9263
0.8675 0.7209 0.5441
0.2460 0.9183 0.5897
0.7540 0.0817 0.4103
```

Please write out number 2 again, unchanged.
This record from Alexandria describes Tm3Ge3Os after structural relaxation. The functional is PBE.

Output
The total energy comes out at -87.314 eV per cell. The value obtained for the density of states at the Fermi level is 3.78 states/eV/f.u.

```
Tm3Ge3Os
1.0
4.1946 0.0000 0.6319
2.0679 5.3187 0.5109
0.1872 0.0711 12.9961
Tm Ge Os
6 6 2
Direct
0.4000 0.2796 0.9203
0.2595 0.2496 0.2313
0.7405 0.7504 0.7687
0.4795 0.6646 0.3764
0.5205 0.3354 0.6236
0.5999 0.7204 0.0797
0.0400 0.1580 0.7619
0.8757 0.1750 0.0737
0.9600 0.8420 0.2381
0.1325 0.2791 0.4559
0.1243 0.8250 0.9263
0.8675 0.7209 0.5441
0.2460 0.9183 0.5897
0.7540 0.0817 0.4103
```

What is the total energy in the first record? -247.200 eV per cell

Which formula does entry 2 have? Tm3Ge3Os

The lowest total energy belongs to which entry? Tm5Ge10Os4